1.
The following is a DFT calculation (PBE) of an optimized crystal structure of ErScU2S4.

Properties
SG = P2/m (10)
Formation energy without anion corrections = -1.601 eV per atom
ρ = 8.547 g/cm3

Cell lengths 6.612, 3.762, 6.729 Å; angles 90.00, 108.57, 90.00 degrees
Atoms (fractional coordinates):
Er 0.000 0.000 0.000
Sc 0.500 0.500 0.000
U 0.000 0.500 0.500
U 0.500 0.000 0.500
S 0.253 0.500 0.240
S 0.261 0.000 0.763
S 0.739 0.000 0.237
S 0.747 0.500 0.760

***

2.
The following is a DFT calculation (PBE) of an optimized crystal structure of YEr4Sc3S8.

Properties
SG = R-3m (166)
Formation energy without anion corrections = -1.912 eV per atom
ρ = 6.091 g/cm3

Cell lengths 7.616, 7.616, 7.616 Å; angles 60.14, 60.14, 60.14 degrees
Atoms (fractional coordinates):
Y 0.000 0.000 0.000
Er 0.000 0.000 0.500
Er 0.000 0.500 0.000
Er 0.500 0.000 0.000
Er 0.500 0.500 0.500
Sc 0.000 0.500 0.500
Sc 0.500 0.000 0.500
Sc 0.500 0.500 0.000
S 0.252 0.252 0.740
S 0.252 0.740 0.252
S 0.254 0.254 0.254
S 0.260 0.748 0.748
S 0.740 0.252 0.252
S 0.746 0.746 0.746
S 0.748 0.260 0.748
S 0.748 0.748 0.260

***

3.
The following is a DFT calculation (PBE) of an optimized crystal structure of YEr3Sc2S6.

Properties
SG = C2/m (12)
Formation energy without anion corrections = -1.926 eV per atom
ρ = 6.135 g/cm3

Cell lengths 6.621, 6.621, 6.613 Å; angles 99.57, 99.57, 120.16 degrees
Atoms (fractional coordinates):
Y 0.000 0.000 0.000
Er 0.163 0.837 0.500
Er 0.500 0.500 0.500
Er 0.837 0.163 0.500
Sc 0.334 0.666 0.000
Sc 0.666 0.334 0.000
S 0.081 0.425 0.245
S 0.263 0.263 0.759
S 0.425 0.081 0.245
S 0.575 0.919 0.755
S 0.737 0.737 0.241
S 0.919 0.575 0.755

***

4.
The following is a DFT calculation (PBE) of an optimized crystal structure of YEr2ScS4.

Properties
SG = P2/m (10)
Formation energy without anion corrections = -1.930 eV per atom
ρ = 6.187 g/cm3

Cell lengths 6.660, 3.814, 6.674 Å; angles 90.00, 109.16, 90.00 degrees
Atoms (fractional coordinates):
Y 0.000 0.000 0.000
Er 0.500 0.000 0.500
Er 0.500 0.500 0.000
Sc 0.000 0.500 0.500
S 0.244 0.000 0.741
S 0.249 0.500 0.257
S 0.751 0.500 0.743
S 0.756 0.000 0.259

***

5.
The following is a DFT calculation (PBE) of an optimized crystal structure of Y3Er3ScS8.

Properties
SG = R-3m (166)
Formation energy without anion corrections = -2.030 eV per atom
ρ = 5.430 g/cm3

Cell lengths 7.743, 7.743, 7.743 Å; angles 59.86, 59.86, 59.86 degrees
Atoms (fractional coordinates):
Y 0.000 0.500 0.500
Y 0.500 0.000 0.500
Y 0.500 0.500 0.000
Er 0.000 0.000 0.500
Er 0.000 0.500 0.000
Er 0.500 0.000 0.000
Sc 0.500 0.500 0.500
S 0.248 0.248 0.248
S 0.253 0.744 0.744
S 0.256 0.256 0.747
S 0.256 0.747 0.256
S 0.744 0.253 0.744
S 0.744 0.744 0.253
S 0.747 0.256 0.256
S 0.752 0.752 0.752

***

6.
The following is a DFT calculation (PBE) of an optimized crystal structure of YErSc2S4.

Properties
SG = P2/m (10)
Formation energy without anion corrections = -1.912 eV per atom
ρ = 5.101 g/cm3

Cell lengths 6.581, 3.771, 6.589 Å; angles 90.00, 109.22, 90.00 degrees
Atoms (fractional coordinates):
Y 0.000 0.000 0.000
Er 0.000 0.500 0.500
Sc 0.500 0.000 0.500
Sc 0.500 0.500 0.000
S 0.264 0.000 0.752
S 0.266 0.500 0.258
S 0.734 0.500 0.742
S 0.736 0.000 0.248

***

7.
The following is a DFT calculation (PBE) of an optimized crystal structure of Y4Er3ScS8.

Properties
SG = R-3m (166)
Formation energy without anion corrections = -1.955 eV per atom
ρ = 5.853 g/cm3

Cell lengths 7.758, 7.758, 7.758 Å; angles 59.82, 59.82, 59.82 degrees
Atoms (fractional coordinates):
Y 0.000 0.000 0.000
Y 0.000 0.500 0.500
Y 0.500 0.000 0.500
Y 0.500 0.500 0.000
Er 0.000 0.000 0.500
Er 0.000 0.500 0.000
Er 0.500 0.000 0.000
Sc 0.500 0.500 0.500
S 0.248 0.248 0.248
S 0.252 0.744 0.744
S 0.256 0.256 0.748
S 0.256 0.748 0.256
S 0.744 0.252 0.744
S 0.744 0.744 0.252
S 0.748 0.256 0.256
S 0.752 0.752 0.752

***

8.
The following is a DFT calculation (PBE) of an optimized crystal structure of Y2ErScS6.

Properties
SG = R3 (146)
Formation energy without anion corrections = -2.011 eV per atom
ρ = 3.984 g/cm3

Cell lengths 7.229, 7.229, 7.229 Å; angles 56.06, 56.06, 56.06 degrees
Atoms (fractional coordinates):
Y 0.000 0.000 0.000
Y 0.498 0.498 0.498
Er 0.200 0.200 0.200
Sc 0.697 0.697 0.697
S 0.078 0.421 0.806
S 0.313 0.905 0.593
S 0.421 0.806 0.078
S 0.593 0.313 0.905
S 0.806 0.078 0.421
S 0.905 0.593 0.313

***

9.
The following is a DFT calculation (PBE) of an optimized crystal structure of Er6Se2S3.

Properties
SG = R-3m (166)
Formation energy without anion corrections = -1.683 eV per atom
ρ = 8.317 g/cm3

Cell lengths 19.539, 19.539, 19.539 Å; angles 11.35, 11.35, 11.35 degrees
Atoms (fractional coordinates):
Er 0.081 0.081 0.081
Er 0.190 0.190 0.190
Er 0.361 0.361 0.361
Er 0.639 0.639 0.639
Er 0.810 0.810 0.810
Er 0.919 0.919 0.919
Se 0.444 0.444 0.444
Se 0.556 0.556 0.556
S 0.000 0.000 0.000
S 0.279 0.279 0.279
S 0.721 0.721 0.721

***

10.
The following is a DFT calculation (PBE) of an optimized crystal structure of Er2Se2S.

Properties
SG = C2/m (12)
Formation energy without anion corrections = -1.895 eV per atom
ρ = 6.212 g/cm3

Cell lengths 7.029, 7.029, 8.309 Å; angles 110.60, 110.60, 47.74 degrees
Atoms (fractional coordinates):
Er 0.014 0.014 0.282
Er 0.327 0.327 0.904
Er 0.673 0.673 0.096
Er 0.986 0.986 0.718
Se 0.165 0.165 0.074
Se 0.488 0.488 0.759
Se 0.512 0.512 0.241
Se 0.835 0.835 0.926
S 0.151 0.151 0.609
S 0.849 0.849 0.391

***

11.
The following is a DFT calculation (PBE) of an optimized crystal structure of Er4Se2S.

Properties
SG = Cmmm (65)
Formation energy without anion corrections = -1.478 eV per atom
ρ = 8.281 g/cm3

Cell lengths 6.814, 6.814, 3.934 Å; angles 90.00, 90.00, 109.44 degrees
Atoms (fractional coordinates):
Er 0.244 0.756 0.000
Er 0.246 0.246 0.500
Er 0.754 0.754 0.500
Er 0.756 0.244 0.000
Se 0.000 0.500 0.500
Se 0.500 0.000 0.500
S 0.000 0.000 0.000

***

12.
The following is a DFT calculation (PBE) of an optimized crystal structure of Er2SeS2.

Properties
SG = Immm (71)
Formation energy without anion corrections = -2.022 eV per atom
ρ = 5.861 g/cm3

Cell lengths 7.156, 7.156, 7.156 Å; angles 147.55, 136.13, 55.62 degrees
Atoms (fractional coordinates):
Er 0.161 0.161 0.000
Er 0.839 0.839 0.000
Se 0.000 0.500 0.500
S 0.304 0.804 0.500
S 0.696 0.196 0.500

***

13.
The following is a DFT calculation (PBE) of an optimized crystal structure of Er3Se3S.

Properties
SG = Cmcm (63)
Formation energy without anion corrections = -1.703 eV per atom
ρ = 6.007 g/cm3

Cell lengths 9.313, 9.313, 5.672 Å; angles 90.00, 90.00, 119.98 degrees
Atoms (fractional coordinates):
Er 0.171 0.829 0.750
Er 0.172 0.344 0.750
Er 0.344 0.172 0.250
Er 0.656 0.828 0.750
Er 0.828 0.656 0.250
Er 0.829 0.171 0.250
Se 0.172 0.828 0.250
Se 0.173 0.344 0.250
Se 0.344 0.173 0.750
Se 0.656 0.827 0.250
Se 0.827 0.656 0.750
Se 0.828 0.172 0.750
S 0.333 0.667 0.750
S 0.667 0.333 0.250

***

14.
The following is a DFT calculation (PBE) of an optimized crystal structure of Er5SeS5.

Properties
SG = C2/m (12)
Formation energy without anion corrections = -1.987 eV per atom
ρ = 7.140 g/cm3

Cell lengths 6.729, 6.729, 7.791 Å; angles 106.55, 106.55, 48.27 degrees
Atoms (fractional coordinates):
Er 0.000 0.000 0.000
Er 0.332 0.332 0.656
Er 0.337 0.337 0.179
Er 0.663 0.663 0.821
Er 0.668 0.668 0.344
Se 0.500 0.500 0.000
S 0.165 0.165 0.332
S 0.172 0.172 0.840
S 0.500 0.500 0.500
S 0.828 0.828 0.160
S 0.835 0.835 0.668

***

15.
The following is a DFT calculation (PBE) of an optimized crystal structure of Er2SeS2.

Properties
SG = Cmc2_1 (36)
Formation energy without anion corrections = -1.910 eV per atom
ρ = 5.602 g/cm3

Cell lengths 10.458, 10.458, 6.909 Å; angles 90.00, 90.00, 157.99 degrees
Atoms (fractional coordinates):
Er 0.160 0.840 0.500
Er 0.339 0.661 0.505
Er 0.661 0.339 0.005
Er 0.840 0.160 0.000
Se 0.091 0.909 0.836
Se 0.909 0.091 0.336
S 0.250 0.750 0.169
S 0.399 0.601 0.836
S 0.601 0.399 0.336
S 0.750 0.250 0.669

***

16.
The following is a DFT calculation (PBE) of an optimized crystal structure of Er4SeS2.

Properties
SG = R-3m (166)
Formation energy without anion corrections = -1.608 eV per atom
ρ = 8.263 g/cm3

Cell lengths 12.924, 12.924, 12.924 Å; angles 17.12, 17.12, 17.12 degrees
Atoms (fractional coordinates):
Er 0.129 0.129 0.129
Er 0.285 0.285 0.285
Er 0.715 0.715 0.715
Er 0.871 0.871 0.871
Se 0.000 0.000 0.000
S 0.421 0.421 0.421
S 0.579 0.579 0.579

***

17.
The following is a DFT calculation (PBE) of an optimized crystal structure of Er4Se5S.

Properties
SG = C2/m (12)
Formation energy without anion corrections = -1.828 eV per atom
ρ = 6.531 g/cm3

Cell lengths 9.035, 9.035, 8.122 Å; angles 104.71, 104.71, 25.80 degrees
Atoms (fractional coordinates):
Er 0.003 0.003 0.256
Er 0.325 0.325 0.888
Er 0.675 0.675 0.112
Er 0.997 0.997 0.744
Se 0.162 0.162 0.335
Se 0.162 0.162 0.854
Se 0.500 0.500 0.500
Se 0.838 0.838 0.146
Se 0.838 0.838 0.665
S 0.500 0.500 0.000

***

18.
The following is a DFT calculation (PBE) of an optimized crystal structure of Er3Se3S.

Properties
SG = C2/m (12)
Formation energy without anion corrections = -1.627 eV per atom
ρ = 6.918 g/cm3

Cell lengths 7.559, 7.559, 7.244 Å; angles 91.50, 91.50, 116.50 degrees
Atoms (fractional coordinates):
Er 0.041 0.041 0.252
Er 0.112 0.456 0.752
Er 0.456 0.112 0.752
Er 0.544 0.888 0.248
Er 0.888 0.544 0.248
Er 0.959 0.959 0.748
Se 0.207 0.793 0.000
Se 0.224 0.776 0.500
Se 0.281 0.281 0.992
Se 0.719 0.719 0.008
Se 0.776 0.224 0.500
Se 0.793 0.207 0.000
S 0.252 0.252 0.543
S 0.748 0.748 0.457

***

19.
The following is a DFT calculation (PBE) of an optimized crystal structure of Er3Se2S.

Properties
SG = Immm (71)
Formation energy without anion corrections = -1.777 eV per atom
ρ = 8.572 g/cm3

Cell lengths 6.930, 6.930, 6.930 Å; angles 146.66, 132.34, 59.41 degrees
Atoms (fractional coordinates):
Er 0.000 0.000 0.000
Er 0.350 0.350 0.000
Er 0.650 0.650 0.000
Se 0.172 0.672 0.500
Se 0.828 0.328 0.500
S 0.500 0.000 0.500

***

20.
The following is a DFT calculation (PBE) of an optimized crystal structure of Er6Se5S.

Properties
SG = C2/m (12)
Formation energy without anion corrections = -1.746 eV per atom
ρ = 8.647 g/cm3

Cell lengths 6.958, 6.958, 6.951 Å; angles 99.53, 99.53, 120.10 degrees
Atoms (fractional coordinates):
Er 0.076 0.387 0.732
Er 0.231 0.231 0.263
Er 0.387 0.076 0.732
Er 0.613 0.924 0.268
Er 0.769 0.769 0.737
Er 0.924 0.613 0.268
Se 0.173 0.827 0.000
Se 0.335 0.665 0.500
Se 0.500 0.500 0.000
Se 0.665 0.335 0.500
Se 0.827 0.173 0.000
S 0.000 0.000 0.500

***

21.
The following is a DFT calculation (PBE) of an optimized crystal structure of Er3SeS3.

Properties
SG = R-3 (148)
Formation energy without anion corrections = -1.921 eV per atom
ρ = 6.972 g/cm3

Cell lengths 7.256, 7.256, 7.256 Å; angles 69.24, 69.24, 69.24 degrees
Atoms (fractional coordinates):
Er 0.053 0.423 0.783
Er 0.217 0.947 0.577
Er 0.423 0.783 0.053
Er 0.577 0.217 0.947
Er 0.783 0.053 0.423
Er 0.947 0.577 0.217
Se 0.169 0.169 0.169
Se 0.831 0.831 0.831
S 0.129 0.698 0.403
S 0.302 0.597 0.871
S 0.403 0.129 0.698
S 0.597 0.871 0.302
S 0.698 0.403 0.129
S 0.871 0.302 0.597

***

22.
The following is a DFT calculation (PBE) of an optimized crystal structure of Er3Se2S2.

Properties
SG = P-1 (2)
Formation energy without anion corrections = -1.972 eV per atom
ρ = 6.922 g/cm3

Cell lengths 3.923, 6.753, 6.947 Å; angles 80.77, 89.96, 73.12 degrees
Atoms (fractional coordinates):
Er 0.000 0.000 0.000
Er 0.244 0.513 0.749
Er 0.756 0.487 0.251
Se 0.122 0.754 0.373
Se 0.878 0.246 0.627
S 0.373 0.255 0.110
S 0.627 0.745 0.890